# 1
The following is a DFT calculation (PBE) of an optimized crystal structure of TaTe2PtS.

Cell: 5.2915 5.2915 4.4686 Å, 90.00 90.00 90.00°
Space group P4/mmm (No. 123)
Symmetry-distinct sites (fractional):
Ta  0.0000  0.0000  0.0000 [1 per cell]
Te  0.0000  0.5000  0.5000 [2 per cell]
Pt  0.5000  0.5000  0.5000 [1 per cell]
S  0.5000  0.5000  0.0000 [1 per cell]

Raw total energy: -4.75 eV per atom
Density of states at the Fermi level: 1.3225 states/eV per atom
Raw formation energy: 0.91 eV per atom

***

# 2
The following is a DFT calculation (PBE) of an optimized crystal structure of TaVPt2S.

Cell: 4.4531 4.4531 4.5101 Å, 90.00 90.00 90.00°
Space group P4/mmm (No. 123)
Symmetry-distinct sites (fractional):
Ta  0.0000  0.0000  0.0000 [1 per cell]
V  0.5000  0.5000  0.0000 [1 per cell]
Pt  0.0000  0.5000  0.5000 [2 per cell]
S  0.0000  0.0000  0.5000 [1 per cell]

Raw total energy: -6.97 eV per atom
Density of states at the Fermi level: 1.1552 states/eV per atom
Raw formation energy: 0.46 eV per atom

***

# 3
The following is a DFT calculation (PBE) of an optimized crystal structure of Ta2PtWS.

Cell: 4.5165 4.5165 4.3616 Å, 90.00 90.00 90.00°
Space group P4/mmm (No. 123)
Symmetry-distinct sites (fractional):
Ta  0.0000  0.5000  0.0000 [2 per cell]
Pt  0.0000  0.0000  0.5000 [1 per cell]
W  0.5000  0.5000  0.5000 [1 per cell]
S  0.5000  0.5000  0.0000 [1 per cell]

Raw total energy: -8.95 eV per atom
Density of states at the Fermi level: 1.4171 states/eV per atom
Raw formation energy: 0.41 eV per atom

***

# 4
The following is a DFT calculation (PBE) of an optimized crystal structure of Tb7PtS5.

Cell: 3.8855 23.6340 6.7575 Å, 90.00 106.63 90.00°
Space group P2_1/m (No. 11)
Symmetry-distinct sites (fractional):
Tb  0.0374  0.2500  0.0740 [2 per cell]
Tb  0.1371  0.5364  0.2752 [4 per cell]
Tb  0.3062  0.1772  0.6131 [4 per cell]
Tb  0.4109  0.6085  0.8221 [4 per cell]
Pt  0.3019  0.7500  0.6038 [2 per cell]
S  0.0495  0.6418  0.0997 [4 per cell]
S  0.2255  0.0705  0.4503 [4 per cell]
S  0.5000  0.0000  0.0000 [2 per cell]

Raw total energy: -6.31 eV per atom
Density of states at the Fermi level: 0.5501 states/eV per atom
Raw formation energy: -1.76 eV per atom

***

# 5
The following is a DFT calculation (PBE) of an optimized crystal structure of Tb6PtS5.

Cell: 6.8819 11.9056 6.8617 Å, 90.00 109.60 90.00°
Space group C2/m (No. 12)
Symmetry-distinct sites (fractional):
Tb  0.2482  0.0000  0.2518 [4 per cell]
Tb  0.2503  0.1682  0.7513 [8 per cell]
Pt  0.0000  0.5000  0.0000 [2 per cell]
S  0.0000  0.0000  0.5000 [2 per cell]
S  0.0000  0.1657  0.0000 [4 per cell]
S  0.0000  0.3309  0.5000 [4 per cell]

Raw total energy: -6.42 eV per atom
Density of states at the Fermi level: 0.3162 states/eV per atom
Raw formation energy: -1.88 eV per atom

***

# 6
The following is a DFT calculation (PBE) of an optimized crystal structure of TbPtS.

Cell: 4.3930 4.3930 24.2958 Å, 90.00 90.00 120.00°
Space group R-3m (No. 166, hexagonal axes)
Symmetry-distinct sites (fractional):
Tb  0.0000  0.0000  0.0880 [6 per cell]
Pt  0.0000  0.0000  0.3336 [6 per cell]
S  0.0000  0.0000  0.2084 [6 per cell]

Raw total energy: -6.30 eV per atom
Raw formation energy: -1.36 eV per atom

***

# 7
The following is a DFT calculation (PBE) of an optimized crystal structure of Tb4PtS5.

Cell: 17.2959 3.9955 8.1591 Å, 90.00 107.99 90.00°
Space group C2/m (No. 12)
Symmetry-distinct sites (fractional):
Tb  0.0036  0.0000  0.2681 [4 per cell]
Tb  0.1856  0.5000  0.1342 [4 per cell]
Pt  0.0000  0.5000  0.0000 [2 per cell]
S  0.0000  0.5000  0.5000 [2 per cell]
S  0.1605  0.0000  0.8817 [4 per cell]
S  0.1628  0.0000  0.3338 [4 per cell]

Raw total energy: -6.25 eV per atom
Raw formation energy: -1.73 eV per atom

***

# 8
The following is a DFT calculation (PBE) of an optimized crystal structure of Tb2PtS.

Cell: 3.8503 22.4589 4.1321 Å, 90.00 90.00 90.00°
Space group Cmcm (No. 63)
Symmetry-distinct sites (fractional):
Tb  0.0000  0.0668  0.2500 [4 per cell]
Tb  0.0000  0.3159  0.2500 [4 per cell]
Pt  0.0000  0.4520  0.2500 [4 per cell]
S  0.0000  0.1921  0.2500 [4 per cell]

Raw total energy: -6.47 eV per atom
Excess energy over the best structure of this formula in the dataset: 0 meV per atom
Density of states at the Fermi level: 0.7466 states/eV per atom
Raw formation energy: -1.62 eV per atom